DFT (PBE with a Hubbard U) results for a relaxed NaCr2InF6 crystal.

Cell and atoms, written as extended XYZ:
```
10
Lattice="5.8415 0.0000 0.0000 -2.7142 5.1742 0.0000 -0.4905 -3.2117 4.9267" Properties=species:S:1:pos:R:3 pbc="T T T"
Na 0.0000 0.0000 0.0000
Cr -0.3831 0.0145 3.7647
Cr 2.7744 1.6183 1.2243
In -0.2095 3.3246 2.4863
F -0.1724 -1.8376 2.9568
F -0.7958 1.7458 4.7114
F 1.0215 0.9508 2.0043
F 1.8208 3.0267 0.0133
F 3.8516 0.4526 2.5447
F 4.5165 2.0259 0.2966
```

Summary:
The calculation puts the total energy at -5.4279 eV/atom. For the density of states at the Fermi level, the calculation gives 0.0 states/eV/cell. Its space group is P1.